[1]
VASP calculation (PBE) on a relaxed NdBeP crystal.

Lattice parameters (Å, degrees): 4.288 3.758 3.758 120.00 90.00 90.00
Fractional coordinates of all 3 atoms:
Be1 0.167 0.000 0.000
Nd1 0.667 0.667 0.333
P1 0.167 0.333 0.667

DFT total energy ... -0.4131 Ry/atom
Distance to the lowest polymorph of the same formula ... 0 meV per atom
DOS(E_F) ... 0.4 states/eV per cell
Total moment ... 0.00 Bohr magnetons per cell



[2]
VASP calculation (PBE) on a relaxed Ho6IrRh3 crystal.

Lattice parameters (Å, degrees): 4.728 8.203 11.902 90.00 90.00 90.00
Fractional coordinates of all 20 atoms:
Ho1 0.500 0.499 0.246
Ho2 0.000 0.999 0.254
Ho3 0.000 0.329 0.081
Ho4 0.500 0.171 0.581
Ho5 0.000 0.338 0.412
Ho6 0.000 0.671 0.919
Ho7 0.500 0.501 0.754
Ho8 0.500 0.162 0.912
Ho9 0.500 0.829 0.419
Ho10 0.000 0.001 0.746
Ho11 0.000 0.662 0.588
Ho12 0.500 0.838 0.088
Rh1 0.000 0.335 0.837
Rh2 0.000 0.665 0.163
Rh3 0.000 0.000 0.500
Rh4 0.500 0.165 0.337
Rh5 0.500 0.500 0.000
Rh6 0.500 0.835 0.663
Ir1 0.000 0.000 0.000
Ir2 0.500 0.500 0.500

DFT total energy ... -0.4801 Ry/atom
DOS(E_F) ... 11.4 states/eV per cell
Total moment ... 0.00 Bohr magnetons per cell



[3]
VASP calculation (PBE) on a relaxed NaCoMoN3 crystal.

Lattice parameters (Å, degrees): 3.082 6.111 9.776 120.38 90.00 90.00
Fractional coordinates of all 12 atoms:
N1 0.250 0.786 0.386
N2 0.750 0.966 0.205
N3 0.250 0.034 0.795
N4 0.250 0.563 0.908
N5 0.750 0.214 0.614
N6 0.750 0.437 0.092
Na1 0.750 0.698 0.768
Na2 0.250 0.302 0.232
Co1 0.250 0.033 0.600
Co2 0.750 0.967 0.400
Mo1 0.750 0.284 0.866
Mo2 0.250 0.716 0.134

DFT total energy ... -0.5478 Ry/atom
DOS(E_F) ... 6.4 states/eV per cell
Total moment ... 0.00 Bohr magnetons per cell
Formation energy without anion corrections ... -82 meV per atom



[4]
VASP calculation (PBE) on a relaxed NaSm2Ga crystal.

Lattice parameters (Å, degrees): 3.635 3.635 11.718 81.08 81.08 60.00
Fractional coordinates of all 4 atoms:
Sm1 0.895 0.895 0.314
Sm2 0.105 0.105 0.686
Ga1 0.500 0.500 0.500
Na1 0.000 0.000 0.000

DFT total energy ... -0.2568 Ry/atom
Distance to the lowest polymorph of the same formula ... 124 meV per atom
DOS(E_F) ... 3.7 states/eV per cell
Total moment ... 0.00 Bohr magnetons per cell



[5]
VASP calculation (PBE) on a relaxed MgTaOs2 crystal.

Lattice parameters (Å, degrees): 2.816 2.816 8.306 90.00 90.00 90.00
Fractional coordinates of all 4 atoms:
Os1 0.500 0.500 0.222
Os2 0.000 0.000 0.020
Mg1 0.500 0.500 0.776
Ta1 0.000 0.000 0.482

DFT total energy ... -0.6524 Ry/atom
DOS(E_F) ... 2.6 states/eV per cell
Total moment ... 0.00 Bohr magnetons per cell



[6]
VASP calculation (PBE) on a relaxed Nd2DyThSb5 crystal.

Lattice parameters (Å, degrees): 5.255 5.255 11.891 90.00 90.00 90.00
Fractional coordinates of all 9 atoms:
Sb1 0.000 0.000 0.249
Sb2 0.000 0.000 0.751
Sb3 0.500 0.500 0.000
Sb4 0.500 0.000 0.500
Sb5 0.000 0.500 0.500
Th1 0.000 0.000 0.000
Nd1 0.500 0.500 0.286
Nd2 0.500 0.500 0.714
Dy1 0.000 0.000 0.500

DFT total energy ... -0.3644 Ry/atom
DOS(E_F) ... 3.2 states/eV per cell
Total moment ... 0.00 Bohr magnetons per cell
Formation energy without anion corrections ... -272 meV per atom